1.
Computed, not measured: a relaxed structure of La3NdCu2O8 at the PBEsol level of DFT.

The structure in POSCAR format:
```
La3NdCu2O8
1.0
-1.0413 -3.6929 0.9216
2.2359 0.1797 3.2464
-9.6889 4.3374 6.4329
La Nd Cu O
3 1 2 8
Cartesian
-6.2771 2.8100 4.1676 La
-3.3793 1.5128 2.2436 La
-7.6680 1.9436 7.5718 La
-0.8370 -1.1145 3.0364 Nd
-0.0421 0.0188 0.0279 Cu
-4.2371 0.4077 5.2939 Cu
-2.9113 -0.7762 2.0481 O
-6.1552 3.3458 6.4522 O
-1.2727 1.1601 3.2105 O
-7.7938 1.4095 5.2898 O
-0.5525 -1.8322 0.4820 O
-3.7146 2.2533 4.8318 O
-5.3532 0.3169 3.6694 O
1.0861 0.1042 1.6444 O
```

Calculated volume, A^3/atom: 13.81
Space-group type: No. 99
Crystal system: tetragonal
ΔE to the lowest computed polymorph, eV/f.u.: 0.00

***

2.
Computed, not measured: a relaxed structure of La4H9 at the PBEsol level of DFT.

The structure in POSCAR format:
```
La4H9
1.0
-2.9294 -4.3121 1.8053
0.3330 -2.3175 -4.9954
6.0240 0.7369 3.1060
H La
9 4
Cartesian
-0.7304 -5.5700 -1.9841 H
0.5252 -2.3640 -0.4414 H
-0.8914 -4.4493 0.4315 H
0.6862 -3.4847 -2.8571 H
4.1580 -0.3227 1.9000 H
2.9024 -3.5287 0.3574 H
4.3190 -1.4434 -0.5156 H
2.7413 -2.4080 2.7730 H
0.0000 0.0000 0.0000 H
2.3210 -1.2661 0.7421 La
1.1065 -4.6266 -0.8262 La
-1.4647 -2.1561 0.9026 La
0.1665 -1.1587 -2.4977 La
```

Calculated volume, A^3/atom: 13.09
Space-group type: No. 139
Final energy, eV per atom: -4.576
Crystal system: tetragonal

***

3.
Computed, not measured: a relaxed structure of Y4SbMo at the PBEsol level of DFT.

The structure in POSCAR format:
```
Y4SbMo
1.0
5.9610 0.0000 0.0000
2.9805 5.1623 0.0000
2.9805 1.7208 4.8671
Mo Sb Y
1 1 4
Cartesian
8.9414 5.1623 3.6503 Mo
0.0000 0.0000 0.0000 Sb
4.4926 2.5938 1.8341 Y
5.9610 3.4416 4.2319 Y
7.4293 2.5938 1.8341 Y
5.9610 5.1370 1.8341 Y
```

Calculated volume, A^3/atom: 24.96
Space-group type: No. 216
Final energy, eV per atom: -6.637
Crystal system: cubic

***

4.
Computed, not measured: a relaxed structure of TaTe2RhN at the PBEsol level of DFT.

The structure in POSCAR format:
```
TaTe2RhN
1.0
4.7075 0.0000 0.0000
0.0000 5.3268 0.0000
0.0000 0.0000 5.3268
N Te Rh Ta
1 2 1 1
Cartesian
2.3537 2.6634 2.6634 N
0.0000 0.0000 2.6634 Te
0.0000 2.6634 0.0000 Te
2.3537 0.0000 0.0000 Rh
0.0000 0.0000 0.0000 Ta
```

Calculated volume, A^3/atom: 26.72
Space-group type: No. 123
Final energy, eV per atom: -5.593
Crystal system: tetragonal

***

5.
Computed, not measured: a relaxed structure of K2LiSb at the PBEsol level of DFT.

The structure in POSCAR format:
```
K2LiSb
1.0
4.9028 0.0000 0.0000
0.0000 5.9431 0.0000
-2.4514 -2.9715 4.6362
Sb K Li
1 2 1
Cartesian
0.0000 2.9715 1.7263 Sb
2.4514 2.9715 4.3348 K
2.4514 0.0000 2.5378 K
2.4514 2.9715 0.6734 Li
```

Calculated volume, A^3/atom: 33.77
Space-group type: No. 44
Crystal system: orthorhombic
ΔE to the lowest computed polymorph, eV/f.u.: 0.07

***

6.
Computed, not measured: a relaxed structure of LiY3Pt at the PBEsol level of DFT.

The structure in POSCAR format:
```
LiY3Pt
1.0
-2.0833 -0.8248 -4.3636
3.0242 -3.7930 -0.7269
-3.2520 -2.9990 2.1194
Y Pt Li
3 1 1
Cartesian
1.5121 -1.8965 -0.3634 Y
-1.6260 -1.4995 1.0597 Y
-1.0416 -0.4124 -2.1818 Y
-1.1555 -3.8084 -1.4856 Pt
0.0000 0.0000 0.0000 Li
```

E_form, kJ per mole of atoms: 49
Calculated volume, A^3/atom: 23.61
Space-group type: No. 221
Crystal system: cubic

***

7.
Computed, not measured: a relaxed structure of CaMgCu2Pt at the PBEsol level of DFT.

The structure in POSCAR format:
```
CaMgCu2Pt
1.0
4.4947 0.0000 0.0000
0.0000 4.4947 0.0000
0.0000 0.0000 5.1913
Mg Ca Cu Pt
1 1 2 1
Cartesian
0.0000 0.0000 2.5957 Mg
0.0000 0.0000 0.0000 Ca
0.0000 2.2474 0.0000 Cu
2.2474 0.0000 0.0000 Cu
2.2474 2.2474 2.5957 Pt
```

E_form, kJ per mole of atoms: 149
Calculated volume, A^3/atom: 20.98
Space-group type: No. 123
Crystal system: tetragonal

***

8.
Computed, not measured: a relaxed structure of NbAsPtSe2 at the PBEsol level of DFT.

The structure in POSCAR format:
```
NbAsPtSe2
1.0
4.6443 0.0000 0.0000
0.0000 4.9156 0.0000
0.0000 0.0000 4.9156
As Nb Se Pt
1 1 2 1
Cartesian
2.3221 0.0000 0.0000 As
2.3221 2.4578 2.4578 Nb
0.0000 0.0000 2.4578 Se
0.0000 2.4578 0.0000 Se
0.0000 0.0000 0.0000 Pt
```

Calculated volume, A^3/atom: 22.44
Space-group type: No. 123
Final energy, eV per atom: -5.366
Crystal system: tetragonal

***

9.
Computed, not measured: a relaxed structure of Al2Cd2Se at the PBEsol level of DFT.

The structure in POSCAR format:
```
Al2Cd2Se
1.0
-2.1775 -0.3469 -3.1617
5.6049 -3.3862 -3.4887
-2.4634 -6.5681 2.4174
Al Se Cd
4 2 4
Cartesian
-1.8028 -5.0977 -0.5487 Al
0.5797 -7.9104 -1.8810 Al
2.7668 -5.2035 -3.6843 Al
0.3843 -2.3909 -2.3520 Al
0.0000 0.0000 0.0000 Se
1.5708 -4.9772 -0.5356 Se
-0.0892 -6.9043 0.8191 Cd
3.2734 -7.1040 -1.4749 Cd
3.2307 -3.0500 -1.8904 Cd
-0.1319 -2.8503 0.4036 Cd
```

Calculated volume, A^3/atom: 21.22
Space-group type: No. 127
Final energy, eV per atom: -2.680
Crystal system: tetragonal

***

10.
Computed, not measured: a relaxed structure of AsPt2Br at the PBEsol level of DFT.

The structure in POSCAR format:
```
AsPt2Br
1.0
2.9186 0.0000 0.0000
0.0000 4.4034 0.0000
-1.4593 -2.2017 5.4797
As Br Pt
1 1 2
Cartesian
0.0000 0.0000 5.0862 As
0.0000 2.2017 2.7038 Br
0.0000 0.0000 0.3187 Pt
1.4593 0.0000 2.8506 Pt
```

Calculated volume, A^3/atom: 17.61
Space-group type: No. 44
Crystal system: orthorhombic
ΔE to the lowest computed polymorph, eV/f.u.: 0.13

***

11.
Computed, not measured: a relaxed structure of CdInHg2 at the PBEsol level of DFT.

The structure in POSCAR format:
```
CdInHg2
1.0
-1.8493 -3.9466 -1.6551
4.1573 -2.0848 0.3260
-2.0801 1.7884 4.6258
In Hg Cd
1 2 1
Cartesian
1.1540 -3.0157 -0.6646 In
-1.3877 -2.5870 1.1531 Hg
1.6156 -1.6560 2.1437 Hg
0.0000 0.0000 0.0000 Cd
```

E_form, kJ per mole of atoms: -1
Calculated volume, A^3/atom: 23.09
Space-group type: No. 139
Crystal system: tetragonal

***

12.
Computed, not measured: a relaxed structure of BaCaAg2 at the PBEsol level of DFT.

The structure in POSCAR format:
```
BaCaAg2
1.0
-3.7547 -0.4431 -3.8983
1.4514 -1.5421 -5.0051
-1.4293 -4.9069 -1.8481
Ca Ba Ag
1 1 2
Cartesian
0.0110 -3.2245 -3.4266 Ca
-1.8773 -0.2215 -1.9491 Ba
-0.9252 -4.9426 -6.1121 Ag
-2.8074 -1.9495 -4.6395 Ag
```

E_form, kJ per mole of atoms: -18
Calculated volume, A^3/atom: 28.38
Space-group type: No. 71
Crystal system: orthorhombic
ΔE to the lowest computed polymorph, eV/f.u.: 0.18